VASP calculation (PBE) on TbNdGdCd after structural relaxation.

total moment: 7.8 μB/f.u.
formation energy: -0.04 eV per atom

a = 5.5274 Å, b = 5.5274 Å, c = 5.5274 Å
α = 60.00°, β = 60.00°, γ = 60.00°
With the nearest neighbours (Å) after each atom.
Fractional positions:
1 Nd 0.0000 0.0000 0.0000  4 Cd 3.38, 4 Tb 3.38
2 Gd 0.5000 0.5000 0.5000  4 Cd 3.38, 4 Tb 3.38
3 Tb 0.2500 0.2500 0.2500  4 Gd 3.38, 4 Nd 3.38
4 Cd 0.7500 0.7500 0.7500  4 Gd 3.38, 4 Nd 3.38



VASP calculation (PBE) on Mn5CrOs2 after structural relaxation.

total moment: 7.0 μB/f.u.
formation energy: 0.08 eV per atom

a = 5.1697 Å, b = 5.1697 Å, c = 5.1697 Å
α = 103.90°, β = 112.33°, γ = 112.33°
With the nearest neighbours (Å) after each atom.
Fractional positions:
1 Mn 0.4878 0.7156 0.7156  4 Mn 2.57-2.81, 4 Os 2.58-2.59, 2 Cr 2.59
2 Mn 0.0000 0.2279 0.7156  4 Mn 2.57-2.81, 4 Os 2.58-2.59, 2 Cr 2.59
3 Mn 0.0000 0.7156 0.2279  4 Mn 2.57-2.81, 4 Os 2.58-2.59, 2 Cr 2.59
4 Mn 0.5122 0.2279 0.2279  4 Mn 2.57-2.81, 4 Os 2.58-2.59, 2 Cr 2.59
5 Mn 0.0000 0.7365 0.7365  8 Mn 2.57-2.61
6 Cr 0.0000 0.2116 0.2116  8 Mn 2.59, 4 Os 2.88
7 Os 0.5000 0.2214 0.7214  10 Mn 2.58-2.88, 2 Cr 2.88
8 Os 0.5000 0.7214 0.2214  10 Mn 2.58-2.88, 2 Cr 2.88



VASP calculation (PBE) on RbMoSN2 after structural relaxation.

total moment: 6.8 μB/f.u.
electronic total energy: -3.573 eV per atom

a = 4.2460 Å, b = 4.2460 Å, c = 6.5774 Å
α = 90.00°, β = 90.00°, γ = 90.00°
With the nearest neighbours (Å) after each atom.
Fractional positions:
1 Mo 0.5000 0.5000 0.5000  4 S 3.00
2 S 0.0000 0.0000 0.5000  4 Mo 3.00, 2 Rb 3.29
3 Rb 0.0000 0.0000 0.0000  4 N 2.12
4 N 0.0000 0.5000 0.0000  2 Rb 2.12
5 N 0.5000 0.0000 0.0000  2 Rb 2.12



VASP calculation (PBE) on Ce2ErSe2S2 after structural relaxation.

total moment: 2.7 μB/f.u.
electronic total energy: -6.199 eV per atom

a = 5.0619 Å, b = 5.0619 Å, c = 8.3040 Å
α = 107.75°, β = 107.75°, γ = 90.00°
With the nearest neighbours (Å) after each atom.
Fractional positions:
1 Ce 0.3770 0.3770 0.7540  1 Se 2.88, 4 S 3.13
2 Ce 0.6230 0.6230 0.2460  1 Se 2.88, 4 S 3.13
3 Er 0.0000 0.0000 0.0000  4 S 2.53, 2 Se 2.77
4 Se 0.1849 0.1849 0.3698  1 Er 2.77, 1 Ce 2.88
5 Se 0.8151 0.8151 0.6302  1 Er 2.77, 1 Ce 2.88
6 S 0.0000 0.5000 0.0000  2 Er 2.53
7 S 0.5000 0.0000 0.0000  2 Er 2.53



VASP calculation (PBE) on HfHg2S after structural relaxation.

total moment: 0.0 μB/f.u.
electronic total energy: -3.790 eV per atom

a = 9.7986 Å, b = 9.7986 Å, c = 7.3379 Å
α = 48.11°, β = 48.11°, γ = 90.00°
With the nearest neighbours (Å) after each atom.
Fractional positions:
1 S 0.5000 0.5000 0.0000  2 Hf 2.42
2 S 0.2500 0.7500 0.5000  2 Hf 2.42
3 Hf 0.0000 0.0000 0.0000  2 S 2.42
4 Hf 0.7500 0.2500 0.5000  2 S 2.42
5 Hg 0.7250 0.1250 0.2500  2 Hf 2.92, 2 Hg 3.11
6 Hg 0.0250 0.6250 0.2500  2 Hf 2.92, 2 Hg 3.11
7 Hg 0.3750 0.2750 0.7500  2 Hf 2.92, 2 Hg 3.11
8 Hg 0.8750 0.9750 0.7500  2 Hf 2.92, 2 Hg 3.11



VASP calculation (PBE) on CaRh2 after structural relaxation.

total moment: 0.0 μB/f.u.
formation energy: -0.03 eV per atom

a = 5.3907 Å, b = 5.3907 Å, c = 7.6308 Å
α = 71.10°, β = 71.10°, γ = 31.18°
With the nearest neighbours (Å) after each atom.
Fractional positions:
1 Ca 0.3408 0.3408 0.6347  8 Rh 2.82-3.15, 2 Ca 2.90
2 Ca 0.6592 0.6592 0.3653  8 Rh 2.82-3.15, 2 Ca 2.90
3 Rh 0.6424 0.6424 0.9904  9 Rh 2.71-2.91, 1 Ca 2.92
4 Rh 0.9476 0.9476 0.2473  6 Rh 2.71-2.90, 3 Ca 2.82-3.01
5 Rh 0.0524 0.0524 0.7527  6 Rh 2.71-2.90, 3 Ca 2.82-3.01
6 Rh 0.3576 0.3576 0.0096  9 Rh 2.71-2.91, 1 Ca 2.92